# Ho3BiSb2 PBE-GGA optimized geometry
# raw formation energy = -6.12 eV per formula unit
# D(E_F) = 0.21 states/eV per atom
data_Ho3BiSb2
_chemical_formula_sum 'Ho6 Bi2 Sb4'
_cell_length_a 4.395
_cell_length_b 6.216
_cell_length_c 13.201
_cell_angle_alpha 90.00
_cell_angle_beta 90.00
_cell_angle_gamma 90.00
_space_group_name_H-M_alt 'I m m m'
_space_group_IT_number 71
_space_group_name_Hall '-I 2 2'
loop_
_atom_site_label
_atom_site_type_symbol
_atom_site_fract_x
_atom_site_fract_y
_atom_site_fract_z
_atom_site_occupancy
Ho1 Ho 0.000 0.000 0.000 1
Ho2 Ho 0.000 0.000 0.329 1
Bi1 Bi 0.000 0.500 0.000 1
Sb1 Sb 0.000 0.500 0.335 1